BaIrF, optimized geometry, DFT PBE; Fermi-level density of states = 0.0 states/eV per cell; energy = -29.29 eV per cell; uncorrected formation energy = -0.66 eV/atom
1.0
4.1156 -2.3761 0.0000
0.0000 4.7523 0.0000
0.0000 0.0000 8.2384
F Ba Ir
2 2 2
Cartesian
0.0000 0.0000 2.0596 F
0.0000 0.0000 6.1788 F
1.3719 2.3761 2.0596 Ba
2.7437 0.0000 6.1788 Ba
0.0000 0.0000 4.1192 Ir
0.0000 0.0000 0.0000 Ir


TbPr3Dy2S6, optimized geometry, DFT PBE; Fermi-level density of states = 5.2 states/eV per cell; energy = -77.16 eV per cell; uncorrected formation energy = -2.02 eV/atom
1.0
-2.9259 3.0544 -5.4452
-2.2342 -6.1659 2.1285
-2.6552 4.0177 5.1337
Pr S Tb Dy
3 6 1 2
Cartesian
-3.9076 0.4531 0.9085 Pr
-3.6767 -2.6252 3.4371 Pr
-4.1385 3.5314 -1.6201 Pr
-1.9928 1.7135 -0.8877 S
-5.8224 -0.8073 2.7047 S
-1.7614 -1.3718 1.6466 S
-6.0539 2.2780 0.1704 S
-3.3698 2.2863 3.0911 S
-4.4455 -1.3801 -1.2741 S
0.0000 0.0000 0.0000 Tb
-2.6953 -0.0197 -2.9202 Dy
-2.4648 -3.0919 -0.3966 Dy


CrCdSi, optimized geometry, DFT PBE; Fermi-level density of states = 1.3 states/eV per cell; energy = -14.93 eV per cell; uncorrected formation energy = 0.34 eV/atom
1.0
-1.8887 2.9151 -2.5923
-1.2158 -1.1269 -4.0046
-4.2097 -0.3637 -0.9650
Cr Si Cd
1 1 1
Cartesian
-3.6571 0.7123 -3.7810 Cr
-5.4857 1.0684 -5.6714 Si
0.0000 0.0000 0.0000 Cd


La5Zn4Br, optimized geometry, DFT PBE; Fermi-level density of states = 10.2 states/eV per cell; energy = -36.20 eV per cell; uncorrected formation energy = -0.48 eV/atom
1.0
3.7424 0.0000 0.0000
0.0000 3.7424 0.0000
0.0000 0.0000 19.2393
Zn La Br
4 5 1
Cartesian
0.0000 0.0000 11.5333 Zn
0.0000 0.0000 3.9926 Zn
0.0000 0.0000 15.2467 Zn
0.0000 0.0000 7.7060 Zn
1.8712 1.8712 13.3918 La
1.8712 1.8712 9.6197 La
1.8712 1.8712 2.1437 La
1.8712 1.8712 5.8475 La
1.8712 1.8712 17.0956 La
0.0000 0.0000 0.0000 Br


Na4ThHg5, optimized geometry, DFT PBE; Fermi-level density of states = 5.4 states/eV per cell; E_form = -0.223 eV per atom; energy = -16.44 eV per cell
1.0
3.6844 0.0000 0.0000
0.0000 3.6844 0.0000
0.0000 0.0000 19.3634
Hg Na Th
5 4 1
Cartesian
1.8422 1.8422 17.3253 Hg
1.8422 1.8422 5.9148 Hg
1.8422 1.8422 2.0381 Hg
1.8422 1.8422 9.6817 Hg
1.8422 1.8422 13.4486 Hg
0.0000 0.0000 15.4055 Na
0.0000 0.0000 7.7946 Na
0.0000 0.0000 3.9579 Na
0.0000 0.0000 11.5688 Na
0.0000 0.0000 0.0000 Th


RbTc3Hg, optimized geometry, DFT PBE; Fermi-level density of states = 2.6 states/eV per cell; E_form = 2.298 eV per atom; energy = -20.88 eV per cell
1.0
-5.1441 0.1077 1.1951
1.1757 -0.6003 5.1145
0.2401 5.2468 0.5606
Tc Rb Hg
3 1 1
Cartesian
0.5878 -0.3002 2.5573 Tc
0.1200 2.6234 0.2803 Tc
-2.5720 0.0538 0.5975 Tc
-1.8642 2.3771 3.4351 Rb
0.0000 0.0000 0.0000 Hg


TmU2SiC4, optimized geometry, DFT PBE; Fermi-level density of states = 11.8 states/eV per cell; energy = -140.66 eV per cell; uncorrected formation energy = -0.12 eV/atom
1.0
3.4906 0.0000 0.0000
-1.7453 5.6129 0.0000
0.0000 0.0000 11.6102
C U Tm Si
8 4 2 2
Cartesian
0.0000 0.0000 5.8051 C
1.7453 0.7779 2.9026 C
0.0000 4.8351 8.7077 C
1.7453 2.6401 10.1595 C
1.7453 2.6401 7.2559 C
0.0000 2.9728 4.3544 C
0.0000 2.9728 1.4508 C
0.0000 0.0000 0.0000 C
1.7453 1.4455 0.5915 U
1.7453 1.4455 5.2136 U
0.0000 4.1675 6.3966 U
0.0000 4.1675 11.0187 U
1.7453 4.4074 2.9026 Tm
0.0000 1.2055 8.7077 Tm
0.0000 1.7995 2.9026 Si
1.7453 3.8134 8.7077 Si


HgSe, optimized geometry, DFT PBE; Fermi-level density of states = 0.6 states/eV per cell; energy = -3.64 eV per cell; uncorrected formation energy = 0.07 eV/atom
1.0
3.8633 0.0000 0.0000
0.0000 3.8633 0.0000
0.0000 0.0000 5.1990
Hg Se
1 1
Cartesian
0.0000 0.0000 0.0000 Hg
1.9317 1.9317 0.0000 Se